# Sr2NbCl2

An optimized crystal structure of Sr2NbCl2 (PBE, Alexandria via LeMat-Bulk).

Raw total energy in eV per atom: -4.0116
D(E_F) in states/eV per cell: 3.68
Raw formation energy in eV/atom: -0.59
SG: I4/mmm (139)
Crystal system: tetragonal
E above lowest polymorph in meV/atom: 0

Geometry as extended XYZ:
```
5
Lattice="-3.269 -2.762 -4.347 3.761 -4.798 0.221 -2.233 -5.585 0.948" Properties=species:S:1:pos:R:3 pbc="T T T"
Sr -2.628 -6.063 -2.731
Sr 0.887 -7.081 -0.447
Nb 0.000 0.000 0.000
Cl -0.767 -4.517 -0.833
Cl -0.974 -8.627 -2.345
```